Density functional theory data (PBE) for a relaxed structure of ScTaMo.

a = 5.635 Å, b = 5.635 Å, c = 5.635 Å
α = 145.56°, β = 145.56°, γ = 49.50°
Element x y z (fractional)
Mo  0.017  0.017  0.000
Sc  0.341  0.341  0.000
Ta  0.642  0.642  0.000

Final energy   -9.6314 eV per atom
N(E_F)   1.114 states/eV per atom
Relative energy among the computed polymorphs   9.3 meV per atom
Mass density   9.38 g/cm3
Formation energy   0.93 kcal/mol of atoms

---

Density functional theory data (PBE) for a relaxed structure of SrEuHg.

a = 3.974 Å, b = 3.974 Å, c = 7.525 Å
α = 105.31°, β = 105.31°, γ = 90.00°
Element x y z (fractional)
Eu  0.301  0.301  0.602
Sr  0.028  0.028  0.055
Hg  0.671  0.671  0.343

Final energy   -4.4579 eV per atom
N(E_F)   3.395 states/eV per atom
Relative energy among the computed polymorphs   0.0 meV per atom
Mass density   6.63 g/cm3
Formation energy   -8.58 kcal/mol of atoms

---

Density functional theory data (PBE) for a relaxed structure of LaScIn.

a = 5.198 Å, b = 5.198 Å, c = 5.198 Å
α = 60.00°, β = 60.00°, γ = 60.00°
Element x y z (fractional)
In  0.750  0.750  0.750
La  0.000  0.000  0.000
Sc  0.500  0.500  0.500

Final energy   -4.7277 eV per atom
N(E_F)   1.897 states/eV per atom
Relative energy among the computed polymorphs   284.4 meV per atom
Mass density   5.00 g/cm3
Formation energy   -1.43 kcal/mol of atoms

---

Density functional theory data (PBE) for a relaxed structure of BeCdRe2.

a = 2.906 Å, b = 2.906 Å, c = 6.927 Å
α = 90.00°, β = 90.00°, γ = 90.00°
Element x y z (fractional)
Re  0.000  0.000  0.071
Re  0.000  0.000  0.429
Be  0.500  0.500  0.250
Cd  0.500  0.500  0.750

Final energy   -7.0169 eV per atom
N(E_F)   0.733 states/eV per atom
Relative energy among the computed polymorphs   208.3 meV per atom
Mass density   14.02 g/cm3
Formation energy   8.48 kcal/mol of atoms

---

Density functional theory data (PBE) for a relaxed structure of RbCaW3.

a = 4.850 Å, b = 4.850 Å, c = 4.850 Å
α = 90.00°, β = 90.00°, γ = 90.00°
Element x y z (fractional)
Ca  0.500  0.500  0.500
Rb  0.000  0.000  0.000
W  0.000  0.500  0.000
W  0.000  0.000  0.500
W  0.500  0.000  0.000

Final energy   -4.8584 eV per atom
N(E_F)   1.524 states/eV per atom
Relative energy among the computed polymorphs   0.0 meV per atom
Mass density   9.85 g/cm3
Formation energy   80.88 kcal/mol of atoms

---

Density functional theory data (PBE) for a relaxed structure of CaAlAu2.

a = 5.332 Å, b = 5.332 Å, c = 5.332 Å
α = 132.60°, β = 132.60°, γ = 69.28°
Element x y z (fractional)
Ca  0.500  0.500  0.000
Au  0.000  0.000  0.000
Au  0.250  0.750  0.500
Al  0.750  0.250  0.500

Final energy   -3.4920 eV per atom
N(E_F)   0.537 states/eV per atom
Mass density   9.50 g/cm3
Formation energy   -9.62 kcal/mol of atoms

---

Density functional theory data (PBE) for a relaxed structure of NdSm12Y7.

a = 9.939 Å, b = 9.939 Å, c = 9.939 Å
α = 109.47°, β = 109.47°, γ = 109.47°
Element x y z (fractional)
Nd  0.000  0.000  0.000
Sm  0.494  0.747  0.747
Sm  0.000  0.747  0.253
Sm  0.506  0.253  0.253
Sm  0.000  0.253  0.747
Sm  0.747  0.000  0.253
Sm  0.747  0.494  0.747
Sm  0.253  0.000  0.747
Sm  0.253  0.506  0.253
Sm  0.747  0.747  0.494
Sm  0.253  0.253  0.506
Sm  0.747  0.253  0.000
Sm  0.253  0.747  0.000
Y  0.500  0.500  0.000
Y  0.000  0.500  0.500
Y  0.500  0.000  0.500
Y  0.500  0.500  0.500
Y  0.000  0.000  0.500
Y  0.500  0.000  0.000
Y  0.000  0.500  0.000

Final energy   -4.6446 eV per atom
N(E_F)   1.296 states/eV per atom
Relative energy among the computed polymorphs   450.6 meV per atom
Mass density   5.65 g/cm3
Formation energy   15.86 kcal/mol of atoms

---

Density functional theory data (PBE) for a relaxed structure of Sm2Dy2Ga3.

a = 3.706 Å, b = 8.179 Å, c = 5.991 Å
α = 92.74°, β = 71.96°, γ = 89.98°
Element x y z (fractional)
Sm  0.703  0.834  0.594
Sm  0.297  0.166  0.406
Dy  0.559  0.303  0.881
Dy  0.441  0.697  0.119
Ga  0.000  0.000  0.000
Ga  0.832  0.459  0.337
Ga  0.168  0.541  0.663

Final energy   -4.3907 eV per atom
N(E_F)   0.719 states/eV per atom
Mass density   8.04 g/cm3
Formation energy   -9.92 kcal/mol of atoms